1.
Tb7Tm12Th: optimized geometry, PBE-GGA.

abc: 8.632 8.632 8.632
angles: 88.93 88.93 88.93
Fractional positions:
Tb 0.843 0.619 0.954
Tb 0.381 0.046 0.157
Tb 0.046 0.157 0.381
Tb 0.500 0.500 0.500
Tb 0.157 0.381 0.046
Tb 0.619 0.954 0.843
Tb 0.954 0.843 0.619
Tm 0.715 0.257 0.137
Tm 0.619 0.145 0.502
Tm 0.863 0.285 0.743
Tm 0.498 0.381 0.855
Tm 0.502 0.619 0.145
Tm 0.137 0.715 0.257
Tm 0.743 0.863 0.285
Tm 0.285 0.743 0.863
Tm 0.855 0.498 0.381
Tm 0.381 0.855 0.498
Tm 0.145 0.502 0.619
Tm 0.257 0.137 0.715
Th 0.000 0.000 0.000

Summary:
E_form (eV per formula unit): 4.8
Distance to the lowest polymorph of the same formula (meV per atom): 0
Symmetry: R-3 (148)


2.
ZrScCuNi: optimized geometry, PBE-GGA.

abc: 3.293 4.147 5.316
angles: 90.00 108.04 90.00
Fractional positions:
Cu 0.579 0.500 0.158
Ni 0.419 0.000 0.838
Sc 0.142 0.000 0.284
Zr 0.860 0.500 0.720

Summary:
E_form (eV per formula unit): -1.3
Distance to the lowest polymorph of the same formula (meV per atom): 0
Symmetry: Amm2 (38)


3.
NaInPtAu: optimized geometry, PBE-GGA.

abc: 4.723 4.723 4.723
angles: 60.00 60.00 60.00
Fractional positions:
Pt 0.750 0.750 0.750
Na 0.250 0.250 0.250
Au 0.500 0.500 0.500
In 0.000 0.000 0.000

Summary:
E_form (eV per formula unit): -1.0
Symmetry: F-43m (216)


4.
CdAg2P: optimized geometry, PBE-GGA.

abc: 5.738 5.738 2.977
angles: 74.26 74.26 117.11
Fractional positions:
Ag 0.500 0.000 0.000
Ag 0.000 0.500 0.000
Cd 0.500 0.500 0.500
P 0.000 0.000 0.500

Summary:
E_form (eV per formula unit): 1.0
Distance to the lowest polymorph of the same formula (meV per atom): 99
Symmetry: C2/m (12)


5.
FeAgOs2: optimized geometry, PBE-GGA.

abc: 2.674 2.674 9.337
angles: 90.00 90.00 117.34
Fractional positions:
Os 0.000 0.000 0.976
Os 0.000 0.000 0.524
Fe 0.500 0.500 0.750
Ag 0.500 0.500 0.250

Summary:
E_form (eV per formula unit): 2.0
Distance to the lowest polymorph of the same formula (meV per atom): 162
Symmetry: Cmmm (65)


6.
MnTeSe: optimized geometry, PBE-GGA.

abc: 7.728 7.728 7.728
angles: 156.01 156.01 34.18
Fractional positions:
Te 0.633 0.633 0.000
Se 0.390 0.390 0.000
Mn 0.977 0.977 0.000

Summary:
Raw formation energy (meV/atom): 5
Distance to the lowest polymorph of the same formula (meV per atom): 342
Symmetry: I4mm (107)


7.
ZrBeOs2: optimized geometry, PBE-GGA.

abc: 5.197 5.197 5.197
angles: 145.45 130.84 61.47
Fractional positions:
Zr 0.502 0.502 0.000
Os 0.236 0.736 0.500
Os 0.990 0.990 0.000
Be 0.772 0.272 0.500

Summary:
E_form (eV per formula unit): -0.1
Symmetry: Imm2 (44)